Entry from the Alexandria database: crystalline CoReSe2 at its relaxed geometry (PBE). Values from VASP.

Structure (Quantum ESPRESSO input):
```
&SYSTEM
  ibrav = 0, nat = 4, ntyp = 3
/
ATOMIC_SPECIES
Co 58.93 Co.upf
Re 186.21 Re.upf
Se 78.96 Se.upf
ATOMIC_POSITIONS angstrom
Co 0.0000 0.0000 0.0000
Re 0.0000 0.0000 12.1581
Se 0.0000 0.0000 2.2631
Se 0.0000 0.0000 22.0532
CELL_PARAMETERS angstrom
1.5731 0.9082 8.1054
-1.5731 0.9082 8.1054
0.0000 -1.8164 8.1054
```

Values from the calculation:
**Formation energy (no corrections)**: 361 meV per atom
**Symmetry**: R-3m
**ΔE to the lowest computed polymorph**: 448 meV per atom

Entry from the Alexandria database: crystalline MnAl2TlCr at its relaxed geometry (PBE). Values from VASP.

Structure (Quantum ESPRESSO input):
```
&SYSTEM
  ibrav = 0, nat = 5, ntyp = 4
/
ATOMIC_SPECIES
Mn 54.94 Mn.upf
Al 26.98 Al.upf
Tl 204.38 Tl.upf
Cr 52.00 Cr.upf
ATOMIC_POSITIONS angstrom
Mn 0.0000 0.0000 0.0000
Al 0.0000 2.3653 0.0000
Al 2.3653 0.0000 0.0000
Tl 2.3653 2.3653 2.1878
Cr 0.0000 0.0000 2.1878
CELL_PARAMETERS angstrom
4.7306 0.0000 0.0000
0.0000 4.7306 0.0000
0.0000 0.0000 4.3757
```

Values from the calculation:
**DFT formation energy**: 235 kJ/mol of formula units
**Symmetry**: P4/mmm